(1)
Te2AsPbC: optimized geometry, PBE.

Cell: 4.7073 5.3036 4.7073 Å, 90.00 90.00 90.00°
With the nearest neighbours (Å) after each atom.
Fractional positions:
1 Te 0.0000 0.0000 0.5000  2 C 2.35
2 Te 0.5000 0.0000 0.0000  2 C 2.35
3 C 0.0000 0.0000 0.0000  4 Te 2.35
4 Pb 0.0000 0.5000 0.0000  2 C 2.65
5 As 0.5000 0.5000 0.5000  4 Pb 3.33, 8 Te 3.55

Summary:
Crystal system: tetragonal
Symmetry: P4/mmm (123)
Calculated volume, Å³/cell: 117.5
Uncorrected formation energy, kJ/mol of atoms: 95.5


(2)
Ce2PuH6: optimized geometry, PBE.

Cell: 3.8080 5.4125 6.5904 Å, 114.24 106.79 90.00°
With the nearest neighbours (Å) after each atom.
Fractional positions:
1 H 0.5000 0.2416 0.0000  2 Pu 2.31, 2 Ce 2.34
2 H 0.8347 0.0812 0.6693  1 Pu 2.31, 3 Ce 2.35
3 H 0.5000 0.7584 0.0000  2 Pu 2.31, 2 Ce 2.34
4 H 0.8347 0.5881 0.6693  1 Pu 2.31, 3 Ce 2.35
5 H 0.1653 0.4119 0.3307  1 Pu 2.31, 3 Ce 2.35
6 H 0.1653 0.9188 0.3307  1 Pu 2.31, 3 Ce 2.35
7 Ce 0.6647 0.6648 0.3296  8 H 2.34-2.35
8 Ce 0.3353 0.3352 0.6704  8 H 2.34-2.35
9 Pu 0.0000 0.0000 0.0000  8 H 2.31

Summary:
Crystal system: orthorhombic
Symmetry: Immm (71)
Calculated volume, Å³/cell: 117.5
E_tot, eV per atom: -5.620


(3)
CeBi4: optimized geometry, PBE.

Cell: 8.6136 4.4882 8.6276 Å, 90.01 90.00 90.00°
With the nearest neighbours (Å) after each atom.
Fractional positions:
1 Bi 0.8190 0.5003 0.6788  2 Bi 3.11
2 Bi 0.1436 0.9997 0.6441  2 Bi 3.11, 2 Ce 3.31
3 Bi 0.3564 0.9997 0.1441  2 Bi 3.11, 2 Ce 3.31
4 Bi 0.6810 0.5003 0.1788  2 Bi 3.11
5 Bi 0.1810 0.4997 0.3212  2 Bi 3.11
6 Bi 0.3190 0.4997 0.8212  2 Bi 3.11
7 Bi 0.8564 0.0003 0.3559  2 Bi 3.11, 2 Ce 3.31
8 Bi 0.6436 0.0003 0.8559  2 Bi 3.11, 2 Ce 3.31
9 Ce 0.5000 0.0000 0.5000  4 Bi 3.31
10 Ce 0.0000 0.0000 0.0000  4 Bi 3.31

Summary:
Crystal system: orthorhombic
Symmetry: Pbam (55)
DFT formation energy, meV/atom: -213.8
Energy relative to the lowest polymorph listed for this composition, meV/atom: 0.0
Calculated volume, Å³/cell: 333.5


(4)
Ac2Pm2Ho5: optimized geometry, PBE.

Cell: 3.7313 13.3244 7.4206 Å, 64.37 104.58 90.00°
With the nearest neighbours (Å) after each atom.
Fractional positions:
1 Ho 0.6966 0.8171 0.3941  6 Ho 3.35-3.73, 3 Pm 3.47-3.60, 2 Ac 3.74
2 Ho 0.3874 0.6124 0.7755  3 Ho 3.28-3.43, 1 Pm 3.55
3 Ho 0.3034 0.1829 0.6059  6 Ho 3.35-3.73, 3 Pm 3.47-3.60, 2 Ac 3.74
4 Ho 0.0000 0.0000 0.0000  6 Ho 3.35-3.73, 4 Pm 3.49
5 Ho 0.6126 0.3876 0.2245  3 Ho 3.28-3.43, 1 Pm 3.55
6 Pm 0.6384 0.1093 0.2778  6 Ho 3.47-3.60, 4 Pm 3.72-3.73
7 Pm 0.3616 0.8907 0.7222  6 Ho 3.47-3.60, 4 Pm 3.72-3.73
8 Ac 0.8968 0.3637 0.7935  2 Ac 3.73, 7 Ho 3.74-3.95, 2 Pm 4.06-4.07
9 Ac 0.1032 0.6363 0.2065  2 Ac 3.73, 7 Ho 3.74-3.95, 2 Pm 4.06-4.07

Summary:
Crystal system: monoclinic
Symmetry: C2/m (12)
DFT formation energy, meV/atom: 97.4
Calculated volume, Å³/cell: 319.4


(5)
Ta5Au4: optimized geometry, PBE.

Cell: 6.7475 6.7475 6.7475 Å, 94.62 94.62 147.01°
With the nearest neighbours (Å) after each atom.
Fractional positions:
1 Au 0.3295 0.0000 0.3295  7 Ta 2.87-3.02, 5 Au 2.92-3.12
2 Au 0.0000 0.6705 0.6705  7 Ta 2.87-3.02, 5 Au 2.92-3.12
3 Au 0.0000 0.3295 0.3295  7 Ta 2.87-3.02, 5 Au 2.92-3.12
4 Au 0.6705 0.0000 0.6705  7 Ta 2.87-3.02, 5 Au 2.92-3.12
5 Ta 0.3304 0.6696 0.0000  6 Ta 2.83-3.10, 6 Au 2.87-3.02
6 Ta 0.6696 0.6696 0.3392  6 Ta 2.83-3.10, 6 Au 2.87-3.02
7 Ta 0.0000 0.0000 0.0000  8 Ta 2.91, 4 Au 3.01
8 Ta 0.6696 0.3304 0.0000  6 Ta 2.83-3.10, 6 Au 2.87-3.02
9 Ta 0.3304 0.3304 0.6608  6 Ta 2.83-3.10, 6 Au 2.87-3.02

Summary:
Crystal system: tetragonal
Symmetry: I4/mmm (139)
DFT formation energy, meV/atom: 12.4
Energy relative to the lowest polymorph listed for this composition, meV/atom: 0.0
Calculated volume, Å³/cell: 160.4


(6)
InTc2Sb: optimized geometry, PBE.

Cell: 4.6993 4.6993 4.6993 Å, 60.00 60.00 60.00°
With the nearest neighbours (Å) after each atom.
Fractional positions:
1 In 0.5000 0.5000 0.5000  4 Sb 2.88, 4 Tc 2.88
2 Tc 0.7500 0.7500 0.7500  4 In 2.88, 4 Tc 2.88
3 Tc 0.0000 0.0000 0.0000  4 Tc 2.88, 4 Sb 2.88
4 Sb 0.2500 0.2500 0.2500  4 In 2.88, 4 Tc 2.88

Summary:
Crystal system: cubic
Symmetry: F-43m (216)
Energy relative to the lowest polymorph listed for this composition, meV/atom: 489.2
Calculated volume, Å³/cell: 73.4
Uncorrected formation energy, kJ/mol of atoms: 56.4


(7)
Pa2CdHgO8: optimized geometry, PBE.

Cell: 5.4743 5.4743 6.6488 Å, 114.31 114.31 90.00°
With the nearest neighbours (Å) after each atom.
Fractional positions:
1 O 0.8759 0.3931 0.2487  2 Pa 2.30, 1 Cd 2.41, 1 Hg 2.43, 1 O 2.53
2 O 0.1444 0.1241 0.7513  2 Pa 2.30, 1 Cd 2.41, 1 Hg 2.43, 1 O 2.53
3 O 0.6069 0.6272 0.7513  2 Pa 2.30, 1 Cd 2.41, 1 Hg 2.43, 1 O 2.53
4 O 0.1443 0.6266 0.7511  2 Pa 2.30, 1 Cd 2.41, 1 Hg 2.43, 1 O 2.53
5 O 0.3734 0.3932 0.2489  2 Pa 2.30, 1 Cd 2.41, 1 Hg 2.43, 1 O 2.53
6 O 0.3728 0.8556 0.2487  2 Pa 2.30, 1 Cd 2.41, 1 Hg 2.43, 1 O 2.53
7 O 0.6068 0.1245 0.7511  2 Pa 2.30, 1 Cd 2.41, 1 Hg 2.43, 1 O 2.53
8 O 0.8755 0.8557 0.2489  2 Pa 2.30, 1 Cd 2.41, 1 Hg 2.43, 1 O 2.53
9 Pa 0.5000 0.5000 0.0000  8 O 2.30
10 Pa 0.2500 0.7500 0.5000  8 O 2.30
11 Cd 0.0000 0.0000 0.0000  8 O 2.41
12 Hg 0.7500 0.2500 0.5000  8 O 2.43

Summary:
Crystal system: tetragonal
Symmetry: I-4m2 (119)
Calculated volume, Å³/cell: 162.0
Uncorrected formation energy, kJ/mol of atoms: -205.2


(8)
DyNbCuOs: optimized geometry, PBE.

Cell: 4.6574 4.6574 4.6574 Å, 60.00 60.00 60.00°
With the nearest neighbours (Å) after each atom.
Fractional positions:
1 Dy 0.5000 0.5000 0.5000  4 Os 2.85, 4 Cu 2.85
2 Cu 0.2500 0.2500 0.2500  4 Dy 2.85, 4 Nb 2.85
3 Nb 0.0000 0.0000 0.0000  4 Os 2.85, 4 Cu 2.85
4 Os 0.7500 0.7500 0.7500  4 Nb 2.85, 4 Dy 2.85

Summary:
Crystal system: cubic
Symmetry: F-43m (216)
DFT formation energy, meV/atom: -31.3
Calculated volume, Å³/cell: 71.4


(9)
HgP2Ru: optimized geometry, PBE.

Cell: 5.6201 5.6201 6.8147 Å, 65.65 65.65 90.00°
With the nearest neighbours (Å) after each atom.
Fractional positions:
1 Ru 0.5000 0.5000 0.0000  4 P 2.24
2 Ru 0.2500 0.7500 0.5000  4 P 2.24
3 P 0.8750 0.8144 0.7500  2 Ru 2.24
4 P 0.3750 0.4356 0.7500  2 Ru 2.24
5 P 0.1856 0.6250 0.2500  2 Ru 2.24
6 P 0.5644 0.1250 0.2500  2 Ru 2.24
7 Hg 0.0000 0.0000 0.0000  4 P 2.63
8 Hg 0.7500 0.2500 0.5000  4 P 2.63

Summary:
Crystal system: tetragonal
Symmetry: I-42d (122)
DFT formation energy, meV/atom: 66.6
Calculated volume, Å³/cell: 174.9


(10)
Li2NiAg: optimized geometry, PBE.

Cell: 6.7579 6.7579 5.4348 Å, 51.56 51.56 90.00°
With the nearest neighbours (Å) after each atom.
Fractional positions:
1 Li 0.8750 0.8575 0.7500  2 Ni 2.40, 2 Ag 2.56, 2 Li 2.60
2 Li 0.6075 0.1250 0.2500  2 Ni 2.40, 2 Ag 2.56, 2 Li 2.60
3 Li 0.1425 0.6250 0.2500  2 Ni 2.40, 2 Ag 2.56, 2 Li 2.60
4 Li 0.3750 0.3925 0.7500  2 Ni 2.40, 2 Ag 2.56, 2 Li 2.60
5 Ni 0.2500 0.7500 0.5000  4 Li 2.40, 2 Ag 2.59
6 Ni 0.5000 0.5000 0.0000  4 Li 2.40, 2 Ag 2.59
7 Ag 0.7500 0.2500 0.5000  4 Li 2.56, 2 Ni 2.59
8 Ag 0.0000 0.0000 0.0000  4 Li 2.56, 2 Ni 2.59

Summary:
Crystal system: tetragonal
Symmetry: I-42d (122)
DFT formation energy, meV/atom: 171.2
Calculated volume, Å³/cell: 118.2


(11)
Fe2Sb4Rh: optimized geometry, PBE.

Cell: 5.1446 5.1446 7.2604 Å, 69.25 69.25 90.00°
With the nearest neighbours (Å) after each atom.
Fractional positions:
1 Sb 0.7865 0.7865 0.4270  1 Fe 2.47, 1 Rh 2.68
2 Sb 0.2135 0.2135 0.5730  1 Fe 2.47, 1 Rh 2.68
3 Sb 0.0000 0.5000 0.0000  2 Rh 2.57, 4 Fe 2.81
4 Sb 0.5000 0.0000 0.0000  2 Rh 2.57, 4 Fe 2.81
5 Rh 0.0000 0.0000 0.0000  6 Sb 2.57-2.68
6 Fe 0.5898 0.5898 0.8203  1 Fe 2.26, 1 Sb 2.47
7 Fe 0.4102 0.4102 0.1797  1 Fe 2.26, 1 Sb 2.47

Summary:
Crystal system: tetragonal
Symmetry: I4/mmm (139)
Calculated volume, Å³/cell: 166.3
Uncorrected formation energy, kJ/mol of atoms: 40.1


(12)
CuBSe2: optimized geometry, PBE.

Cell: 3.6893 3.6893 6.0765 Å, 90.00 90.00 120.00°
With the nearest neighbours (Å) after each atom.
Fractional positions:
1 Cu 0.0000 0.0000 0.9166  3 Se 2.29
2 Se 0.6667 0.3333 0.3103  3 B 2.30
3 Se 0.3333 0.6667 0.7767  1 B 1.98
4 B 0.3333 0.6667 0.4513  1 Se 1.98

Summary:
Crystal system: trigonal
Symmetry: P3m1 (156)
Calculated volume, Å³/cell: 71.6
Uncorrected formation energy, kJ/mol of atoms: 19.6